Record 1
Here is Ac2Al5Ge3 after structural relaxation from Alexandria via LeMat-Bulk. Energies are from PBE.

The structure in POSCAR format:
```
Ac2Al5Ge3
1.0
-5.225 -1.303 3.295
-3.659 -7.749 -2.821
1.790 -5.968 6.524
Ac Al Ge
4 10 6
Cartesian
-2.546 -5.417 5.915
-2.813 -5.706 -0.671
-4.549 -9.603 1.083
-4.281 -9.314 7.669
-1.505 -9.909 2.765
-2.726 -2.547 0.717
-4.117 -10.561 4.413
-4.853 -7.836 4.323
-2.241 -7.184 2.676
-5.590 -5.112 4.233
-4.368 -12.473 6.281
-2.906 -12.197 2.661
-4.188 -2.823 4.338
-2.977 -4.460 2.586
-2.337 -8.615 4.980
-3.918 -0.978 2.471
-1.306 -0.326 0.824
-6.624 -9.814 3.756
-0.470 -5.206 3.242
-4.757 -6.405 2.018
```

Calculated values
D(E_F), states/eV per atom: 0.57
Total magnetization, μB/f.u.: 0.00
Relative energy among the computed polymorphs, meV per atom: 0.0
ΔE_f, eV/atom: -0.346
Calculated total energy, eV per atom: -4.42
Calculated density, g/cm3: 6.0

---

Record 2
Here is Ce2PdSe3 after structural relaxation from Alexandria via LeMat-Bulk. Energies are from PBE.

The structure in POSCAR format:
```
Ce2PdSe3
1.0
4.143 0.000 0.000
0.000 8.472 0.000
0.000 0.000 16.426
Ce Se Pd
8 12 4
Cartesian
3.107 6.466 0.437
3.107 0.670 11.821
1.036 7.802 4.604
3.107 4.906 12.817
1.036 2.006 15.989
1.036 3.566 3.609
1.036 6.242 8.650
3.107 2.230 7.776
1.036 5.081 15.210
1.036 6.854 11.732
1.036 3.973 6.618
1.036 2.618 12.906
3.107 4.499 9.808
3.107 7.627 6.997
3.107 1.618 4.694
1.036 0.845 9.429
3.107 3.391 1.216
3.107 5.854 3.519
3.107 0.263 14.830
1.036 8.209 1.595
1.036 3.187 10.411
3.107 1.049 2.198
1.036 7.422 14.227
3.107 5.285 6.014
```

Calculated values
D(E_F), states/eV per atom: 2.16
Total magnetization, μB/f.u.: 1.94
Energy relative to the elements, uncorrected, eV/atom: -1.504
Relative energy among the computed polymorphs, meV per atom: 0.0
Calculated total energy, eV per atom: -6.09
Calculated density, g/cm3: 7.2

---

Record 3
Here is Y2ZrHg after structural relaxation from Alexandria via LeMat-Bulk. Energies are from PBE.

The structure in POSCAR format:
```
Y2ZrHg
1.0
-1.626 3.035 0.783
-3.498 -2.314 1.704
2.881 0.013 5.931
Y Hg Zr
2 1 1
Cartesian
2.828 0.013 5.822
-1.771 0.364 2.872
-0.403 0.370 5.688
1.425 0.006 2.934
```

Calculated values
D(E_F), states/eV per atom: 1.41
Total magnetization, μB/f.u.: 0.00
ΔE_f, eV/atom: -0.051
Calculated total energy, eV per atom: -5.50
Calculated density, g/cm3: 7.4

---

Record 4
Here is HfTeP2S after structural relaxation from Alexandria via LeMat-Bulk. Energies are from PBE.

The structure in POSCAR format:
```
HfTeP2S
1.0
-0.382 -4.724 1.956
4.105 -1.453 -2.707
2.812 1.258 3.590
S P Te Hf
1 2 1 1
Cartesian
1.406 0.629 1.795
2.053 -0.726 -1.353
-0.191 -2.362 0.978
3.267 -2.459 1.419
0.000 0.000 0.000
```

Calculated values
D(E_F), states/eV per atom: 1.13
Total magnetization, μB/f.u.: 0.00
Energy relative to the elements, uncorrected, eV/atom: 0.182
Relative energy among the computed polymorphs, meV per atom: 0.0
Calculated total energy, eV per atom: -5.43
Calculated density, g/cm3: 5.3

---

Record 5
Here is In3Sn5Bi12 after structural relaxation from Alexandria via LeMat-Bulk. Energies are from PBE.

The structure in POSCAR format:
```
In3Sn5Bi12
1.0
-12.499 7.113 6.431
-3.797 -14.786 -3.890
11.854 -0.179 10.374
Sn Bi In
20 48 12
Cartesian
4.028 -7.482 3.242
-4.965 -11.182 -0.499
-2.221 -3.926 6.457
-4.155 -1.052 2.736
2.860 -3.878 6.633
0.523 3.330 13.414
-0.023 -4.700 1.939
-6.250 3.556 3.215
0.000 0.000 0.000
3.729 0.685 9.706
-4.419 -3.152 10.976
-0.323 3.467 8.402
-4.477 2.415 11.138
-8.171 -8.537 3.209
-1.898 -7.393 -1.945
5.927 -0.089 5.187
-8.148 -3.837 1.270
0.035 -10.267 1.776
-7.302 -3.974 6.282
-0.287 -6.800 10.179
-2.059 -2.842 12.798
-0.424 -13.046 0.751
-0.083 0.419 13.033
-2.230 1.196 9.573
0.543 -4.132 11.265
-4.019 5.195 12.164
-6.955 -1.074 6.958
-5.391 -5.953 10.536
-2.733 -12.867 -1.578
4.519 -10.996 8.075
-1.709 5.015 14.492
-1.229 -6.070 4.317
-1.638 2.014 5.888
-6.583 2.117 9.026
-2.174 -1.098 4.986
1.834 -8.365 8.751
4.971 -4.254 8.728
-4.359 -8.271 -0.119
-2.212 -9.048 3.342
-5.678 -8.561 4.873
8.671 -0.080 10.518
-4.831 -5.436 5.421
7.422 -5.959 7.360
-2.383 -5.010 0.117
-8.010 -5.787 8.562
2.141 -9.969 3.889
-3.213 -1.782 8.598
-9.927 1.290 7.373
5.485 -9.142 5.542
-13.113 -7.772 2.397
-7.097 -6.833 0.988
-2.268 -6.754 7.929
-2.804 -9.866 7.027
6.211 -0.315 8.354
-10.653 -7.537 4.560
-9.413 -3.598 4.187
3.568 -2.065 4.353
-6.276 0.513 4.164
2.513 -6.778 5.957
1.016 -11.422 6.611
2.655 -1.019 11.926
0.389 -2.416 7.493
0.949 -1.899 2.379
-8.961 3.144 4.840
-11.864 -1.893 5.555
1.236 0.709 8.041
-5.458 3.570 6.304
-4.985 -3.719 1.650
4.006 -12.183 5.181
-9.316 -0.233 4.661
-4.097 -6.619 2.574
-5.288 -7.715 7.903
4.874 -7.619 8.254
-0.126 -8.534 5.978
-12.303 -4.888 4.006
-8.448 4.331 7.734
-4.316 0.682 6.937
-0.345 -1.233 10.341
7.861 -2.964 8.909
0.846 -0.137 5.012
```

Calculated values
D(E_F), states/eV per atom: 0.56
Total magnetization, μB/f.u.: 0.00
ΔE_f, eV/atom: 0.217
Calculated total energy, eV per atom: -3.52
Calculated density, g/cm3: 7.6

---

Record 6
Here is Pm3Zn6Ga5 after structural relaxation from Alexandria via LeMat-Bulk. Energies are from PBE.

The structure in POSCAR format:
```
Pm3Zn6Ga5
1.0
-0.680 3.690 2.123
-5.243 -4.791 6.647
10.567 -2.015 6.884
Zn Ga Pm
12 10 6
Cartesian
6.418 0.449 5.650
-3.575 -5.001 7.547
3.275 1.048 3.603
3.850 -6.417 12.384
3.792 -4.281 8.654
2.868 -3.214 6.503
-5.399 -2.778 7.475
-3.168 -0.739 4.647
-0.630 -0.331 4.751
6.476 -1.686 9.380
0.331 -3.621 6.399
5.100 -1.175 3.675
0.995 -1.154 6.701
3.921 -1.712 8.607
-4.034 -3.686 5.114
-1.295 -2.799 4.449
-0.980 -4.874 8.157
0.681 0.921 2.993
2.381 -5.515 10.347
6.346 -4.255 9.427
7.886 -0.452 7.687
3.735 -0.267 6.036
1.015 -2.752 9.484
2.009 -1.817 3.800
4.306 -3.397 11.659
5.961 -2.570 6.375
-2.309 -2.136 7.350
-1.315 -1.201 1.666
```

Calculated values
D(E_F), states/eV per atom: 0.38
Total magnetization, μB/f.u.: 0.00
ΔE_f, eV/atom: -0.457
Calculated total energy, eV per atom: -3.10
Calculated density, g/cm3: 7.3

---

Record 7
Here is CoSiRh after structural relaxation from Alexandria via LeMat-Bulk. Energies are from PBE.

The structure in POSCAR format:
```
CoSiRh
1.0
3.864 0.000 0.000
1.932 3.347 0.000
1.932 1.116 3.155
Co Rh Si
1 1 1
Cartesian
0.000 0.000 0.000
3.864 2.231 1.578
5.797 3.347 2.366
```

Calculated values
D(E_F), states/eV per atom: 1.29
Total magnetization, μB/f.u.: 0.53
Energy relative to the elements, uncorrected, eV/atom: -0.436
Calculated total energy, eV per atom: -7.06
Calculated density, g/cm3: 7.7